Entry 1:
The following is a DFT calculation (PBE-GGA) of a relaxed structure of Ca2Dy2Pt3.

Properties
V = 167.9 Å³ per cell
uncorrected energy = -5.50 eV/atom

abc: 4.879 4.880 8.612
angles: 90.01 106.46 119.99
Element x y z (fractional)
Dy  0.752  0.376  0.128
Dy  0.248  0.624  0.872
Pt  0.000  0.000  0.000
Pt  0.488  0.745  0.232
Pt  0.512  0.255  0.768
Ca  0.253  0.127  0.380
Ca  0.747  0.873  0.620

---

Entry 2:
The following is a DFT calculation (PBE-GGA) of a relaxed structure of Cs3Hg5Br12.

Properties
V = 3208.6 Å³ per cell
formation energy from raw total energies = -0.832 eV per atom
uncorrected energy = -2.04 eV/atom

abc: 16.093 16.093 16.093
angles: 109.47 109.47 109.47
Element x y z (fractional)
Br  0.905  0.085  0.890
Br  0.181  0.085  0.695
Br  0.390  0.986  0.805
Br  0.415  0.110  0.595
Br  0.514  0.319  0.905
Br  0.986  0.595  0.181
Br  0.305  0.890  0.986
Br  0.110  0.695  0.514
Br  0.595  0.986  0.681
Br  0.405  0.014  0.319
Br  0.695  0.110  0.014
Br  0.110  0.415  0.095
Br  0.319  0.514  0.405
Br  0.905  0.819  0.514
Br  0.195  0.514  0.610
Br  0.610  0.014  0.195
Br  0.805  0.486  0.390
Br  0.681  0.486  0.595
Br  0.405  0.390  0.585
Br  0.610  0.595  0.915
Br  0.486  0.805  0.890
Br  0.695  0.585  0.181
Br  0.585  0.890  0.405
Br  0.585  0.695  0.681
Br  0.181  0.095  0.986
Br  0.819  0.915  0.305
Br  0.085  0.181  0.195
Br  0.986  0.390  0.305
Br  0.486  0.681  0.095
Br  0.195  0.681  0.085
Br  0.514  0.195  0.110
Br  0.085  0.905  0.390
Br  0.595  0.610  0.415
Br  0.890  0.585  0.905
Br  0.095  0.181  0.486
Br  0.915  0.095  0.610
Br  0.805  0.319  0.915
Br  0.014  0.405  0.819
Br  0.890  0.305  0.486
Br  0.095  0.915  0.110
Br  0.415  0.305  0.319
Br  0.390  0.405  0.085
Br  0.681  0.195  0.585
Br  0.319  0.805  0.415
Br  0.014  0.610  0.695
Br  0.915  0.819  0.805
Br  0.305  0.415  0.819
Br  0.819  0.905  0.014
Hg  0.750  0.625  0.375
Hg  0.625  0.875  0.250
Hg  0.875  0.625  0.750
Hg  0.500  0.500  0.500
Hg  0.000  0.000  0.000
Hg  0.500  0.000  0.000
Hg  0.000  0.500  0.500
Hg  0.250  0.375  0.625
Hg  0.250  0.875  0.125
Hg  0.375  0.250  0.125
Hg  0.875  0.250  0.625
Hg  0.375  0.125  0.750
Hg  0.750  0.125  0.875
Hg  0.625  0.750  0.875
Hg  0.125  0.750  0.375
Hg  0.500  0.000  0.500
Hg  0.000  0.000  0.500
Hg  0.000  0.500  0.000
Hg  0.125  0.375  0.250
Hg  0.500  0.500  0.000
Cs  0.750  0.375  0.125
Cs  0.125  0.875  0.750
Cs  0.625  0.250  0.375
Cs  0.125  0.250  0.875
Cs  0.250  0.125  0.375
Cs  0.250  0.625  0.875
Cs  0.375  0.750  0.625
Cs  0.750  0.875  0.625
Cs  0.375  0.625  0.250
Cs  0.875  0.750  0.125
Cs  0.625  0.375  0.750
Cs  0.875  0.125  0.250

---

Entry 3:
The following is a DFT calculation (PBE-GGA) of a relaxed structure of ReNi.

Properties
V = 443.2 Å³ per cell
uncorrected energy = -8.51 eV/atom

abc: 6.812 7.173 9.071
angles: 90.00 90.00 90.00
Element x y z (fractional)
Re  0.250  0.580  0.750
Re  0.250  0.420  0.250
Re  0.500  0.330  0.500
Re  0.000  0.330  0.000
Re  0.500  0.830  0.000
Re  0.500  0.670  0.500
Re  0.750  0.580  0.250
Re  0.750  0.920  0.250
Re  0.000  0.670  0.000
Re  0.000  0.830  0.500
Re  0.750  0.420  0.750
Re  0.750  0.080  0.750
Re  0.500  0.170  0.000
Re  0.000  0.170  0.500
Re  0.250  0.920  0.750
Re  0.250  0.080  0.250
Ni  0.087  0.250  0.750
Ni  0.337  0.000  0.500
Ni  0.337  0.500  0.000
Ni  0.587  0.750  0.750
Ni  0.913  0.250  0.250
Ni  0.663  0.500  0.000
Ni  0.163  0.500  0.500
Ni  0.413  0.750  0.250
Ni  0.587  0.250  0.250
Ni  0.163  0.000  0.000
Ni  0.663  0.000  0.500
Ni  0.837  0.000  0.000
Ni  0.837  0.500  0.500
Ni  0.087  0.750  0.250
Ni  0.413  0.250  0.750
Ni  0.913  0.750  0.750

---

Entry 4:
The following is a DFT calculation (PBE-GGA) of a relaxed structure of K3RbAu.

Properties
V = 1100.6 Å³ per cell
relative energy among the computed polymorphs = 1.20 eV/f.u.
uncorrected energy = -1.40 eV/atom

abc: 13.302 13.302 8.972
angles: 90.00 90.00 136.11
Element x y z (fractional)
K  0.920  0.643  0.750
K  0.000  0.000  0.000
K  0.000  0.000  0.500
K  0.643  0.920  0.250
K  0.080  0.357  0.250
K  0.357  0.080  0.750
Rb  0.168  0.832  0.250
Rb  0.832  0.168  0.750
Au  0.303  0.697  0.250
Au  0.697  0.303  0.750

---

Entry 5:
The following is a DFT calculation (PBE-GGA) of a relaxed structure of Sc2TlFe.

Properties
V = 88.8 Å³ per cell
uncorrected energy = -5.55 eV/atom

abc: 7.067 7.067 7.067
angles: 43.99 153.57 145.49
Element x y z (fractional)
Fe  0.000  0.000  0.000
Tl  0.000  0.500  0.500
Sc  0.000  0.169  0.169
Sc  0.000  0.831  0.831

---

Entry 6:
The following is a DFT calculation (PBE-GGA) of a relaxed structure of SnGeRh3.

Properties
V = 175.2 Å³ per cell
relative energy among the computed polymorphs = 0.00 eV/f.u.
uncorrected energy = -6.45 eV/atom

abc: 4.411 5.431 7.315
angles: 90.00 90.00 90.00
Element x y z (fractional)
Rh  0.500  0.774  0.148
Rh  0.500  0.426  0.473
Rh  0.500  0.274  0.852
Rh  0.500  0.926  0.527
Rh  0.000  0.630  0.688
Rh  0.000  0.130  0.312
Ge  0.500  0.228  0.176
Ge  0.500  0.728  0.824
Sn  0.000  0.138  0.678
Sn  0.000  0.638  0.322

---

Entry 7:
The following is a DFT calculation (PBE-GGA) of a relaxed structure of LaCeRuBr.

Properties
V = 112.7 Å³ per cell
formation energy from raw total energies = -0.870 eV per atom
uncorrected energy = -6.32 eV/atom

abc: 4.035 4.035 8.327
angles: 90.01 104.06 119.98
Element x y z (fractional)
Ru  0.317  0.556  0.888
Br  0.964  0.380  0.359
Ce  0.095  0.946  0.057
La  0.502  0.149  0.666

---

Entry 8:
The following is a DFT calculation (PBE-GGA) of a relaxed structure of CuAg5S3.

Properties
V = 370.4 Å³ per cell
formation energy from raw total energies = 0.010 eV per atom
uncorrected energy = -3.40 eV/atom

abc: 6.797 6.797 8.539
angles: 81.26 81.26 72.98
Element x y z (fractional)
Ag  0.354  0.938  0.320
Ag  0.488  0.488  0.324
Ag  0.314  0.686  0.000
Ag  0.062  0.646  0.680
Ag  0.938  0.354  0.320
Ag  0.646  0.062  0.680
Ag  0.274  0.274  0.909
Ag  0.512  0.512  0.676
Ag  0.686  0.314  0.000
Ag  0.726  0.726  0.091
S  0.000  0.000  0.000
S  0.000  0.000  0.500
S  0.293  0.293  0.615
S  0.312  0.312  0.179
S  0.707  0.707  0.385
S  0.688  0.688  0.821
Cu  0.930  0.930  0.265
Cu  0.070  0.070  0.735